DFT (PBE) results for an optimized crystal structure of TmMgCo.

Values from the calculation:
M_tot (Bohr magnetons per cell): 0.00
Mass density (g/cm3): 7.024
E_form (eV per atom): -0.170
SG: No. 12
Total energy (eV/atom): -4.561

a b c (Å): 4.006 7.161 6.338
angles (deg): 133.29 108.42 90.00
Fractional positions:
Tm 0.486 0.645 0.091
Tm 0.324 0.014 0.767
Mg 0.720 0.539 0.559
Mg 0.091 0.120 0.300
Co 0.778 0.225 0.675
Co 0.032 0.433 0.183

***

DFT (PBE) results for an optimized crystal structure of Sn3Cl5F.

Values from the calculation:
M_tot (Bohr magnetons per cell): 0.00
ΔE_f (raw) (meV per atom): -1169
Mass density (g/cm3): 3.430
SG: No. 12
Total energy (eV/atom): -3.737

a b c (Å): 7.758 7.758 9.681
angles (deg): 75.44 75.44 75.53
Fractional positions:
Sn 0.347 0.347 0.173
Sn 0.283 0.283 0.639
Sn 0.000 0.000 0.000
Sn 0.000 0.000 0.500
Sn 0.653 0.653 0.827
Sn 0.717 0.717 0.361
Cl 0.622 0.010 0.638
Cl 0.295 0.705 0.000
Cl 0.241 0.241 0.926
Cl 0.523 0.523 0.661
Cl 0.477 0.477 0.339
Cl 0.759 0.759 0.074
Cl 0.010 0.622 0.638
Cl 0.705 0.295 0.000
Cl 0.378 0.990 0.362
Cl 0.990 0.378 0.362
F 0.922 0.922 0.287
F 0.078 0.078 0.713

***

DFT (PBE) results for an optimized crystal structure of MoRh2.

Values from the calculation:
M_tot (Bohr magnetons per cell): 0.00
Mass density (g/cm3): 11.419
E_form (eV per atom): -0.173
SG: No. 63
Total energy (eV/atom): -8.684

a b c (Å): 6.115 6.115 3.899
angles (deg): 90.00 90.00 142.99
Fractional positions:
Mo 0.912 0.088 0.250
Mo 0.088 0.912 0.750
Rh 0.580 0.420 0.250
Rh 0.420 0.580 0.750
Rh 0.252 0.748 0.250
Rh 0.748 0.252 0.750

***

DFT (PBE) results for an optimized crystal structure of TlOs3N.

Values from the calculation:
M_tot (Bohr magnetons per cell): 9.38
ΔE_f (raw) (meV per atom): 4408
Mass density (g/cm3): 9.929
SG: No. 221
Total energy (eV/atom): -4.469
ΔE to the lowest computed polymorph (eV/atom): 3.406

a b c (Å): 5.091 5.091 5.091
angles (deg): 90.00 90.00 90.00
Fractional positions:
Tl 0.000 0.000 0.000
Os 0.000 0.500 0.000
Os 0.000 0.000 0.500
Os 0.500 0.000 0.000
N 0.500 0.500 0.500

***

DFT (PBE) results for an optimized crystal structure of NaZr2Os2.

Values from the calculation:
M_tot (Bohr magnetons per cell): 0.00
Mass density (g/cm3): 9.876
E_form (eV per atom): 0.025
SG: No. 127
Total energy (eV/atom): -8.150

a b c (Å): 7.888 7.888 3.167
angles (deg): 90.00 90.00 90.00
Fractional positions:
Na 0.000 0.000 0.000
Na 0.500 0.500 0.000
Os 0.360 0.860 0.000
Os 0.860 0.640 0.000
Os 0.640 0.140 0.000
Os 0.140 0.360 0.000
Zr 0.150 0.650 0.500
Zr 0.650 0.850 0.500
Zr 0.850 0.350 0.500
Zr 0.350 0.150 0.500

***

DFT (PBE) results for an optimized crystal structure of Pm4PrGe2.

Values from the calculation:
M_tot (Bohr magnetons per cell): 0.00
Mass density (g/cm3): 6.985
E_form (eV per atom): -0.455
SG: No. 136
Total energy (eV/atom): -5.172

a b c (Å): 4.129 9.987 9.987
angles (deg): 90.00 90.00 90.00
Fractional positions:
Pm 0.000 0.104 0.330
Pm 0.000 0.896 0.670
Pm 0.500 0.170 0.604
Pm 0.500 0.830 0.396
Pm 0.500 0.396 0.830
Pm 0.500 0.604 0.170
Pm 0.000 0.330 0.104
Pm 0.000 0.670 0.896
Pr 0.500 0.000 0.000
Pr 0.000 0.500 0.500
Ge 0.000 0.166 0.834
Ge 0.000 0.834 0.166
Ge 0.500 0.666 0.666
Ge 0.500 0.334 0.334

***

DFT (PBE) results for an optimized crystal structure of MnBeGa2Os.

Values from the calculation:
M_tot (Bohr magnetons per cell): 0.18
Mass density (g/cm3): 9.188
E_form (eV per atom): 0.876
SG: No. 123
Total energy (eV/atom): -5.160

a b c (Å): 4.177 4.078 4.177
angles (deg): 90.00 90.00 90.00
Fractional positions:
Be 0.000 0.000 0.000
Mn 0.500 0.500 0.500
Os 0.000 0.500 0.000
Ga 0.000 0.000 0.500
Ga 0.500 0.000 0.000

***

DFT (PBE) results for an optimized crystal structure of LaScTeO6.

Values from the calculation:
M_tot (Bohr magnetons per cell): 0.00
ΔE_f (raw) (meV per atom): -2499
Mass density (g/cm3): 5.216
SG: No. 163
Total energy (eV/atom): -7.405

a b c (Å): 5.396 5.396 10.286
angles (deg): 90.00 90.00 120.00
Fractional positions:
La 0.000 0.000 0.000
La 0.000 0.000 0.500
Sc 0.667 0.333 0.250
Sc 0.333 0.667 0.750
Te 0.333 0.667 0.250
Te 0.667 0.333 0.750
O 0.621 0.645 0.143
O 0.024 0.379 0.143
O 0.379 0.024 0.643
O 0.976 0.621 0.857
O 0.355 0.379 0.357
O 0.024 0.645 0.357
O 0.645 0.024 0.857
O 0.621 0.976 0.357
O 0.976 0.355 0.643
O 0.355 0.976 0.143
O 0.645 0.621 0.643
O 0.379 0.355 0.857

***

total energy of number 3 (MoRh2)?
-8.684 eV/atom

***

What is the formula in the eighth record?
LaScTeO6